1.
A plane-wave DFT calculation with PBE-GGA was carried out for BaAcLuTl after structural relaxation.

POSCAR file:
```
BaAcLuTl
1.0
0.000 4.203 4.203
4.203 0.000 4.203
4.203 4.203 0.000
Ba Ac Lu Tl
1 1 1 1
Direct
0.000 0.000 0.000
0.250 0.250 0.250
0.500 0.500 0.500
0.750 0.750 0.750
```

Calculated values
* final energy: -12.31 eV for the cell shown
* symmetry: No. 216
* DOS(E_F): 6.40 states/eV/cell

---

2.
A plane-wave DFT calculation with PBE-GGA was carried out for KMgPb2 after structural relaxation.

POSCAR file:
```
KMgPb2
1.0
-2.666 2.666 10.493
2.666 -2.666 10.493
2.666 2.666 -10.493
K Mg Pb
2 2 4
Direct
0.000 0.000 0.000
0.750 0.250 0.500
0.250 0.750 0.500
0.500 0.500 0.000
0.206 0.625 0.081
0.375 0.456 0.581
0.544 0.125 0.919
0.875 0.794 0.419
```

Calculated values
* final energy: -19.34 eV for the cell shown
* symmetry: No. 122
* DOS(E_F): 4.53 states/eV/cell

---

3.
A plane-wave DFT calculation with PBE-GGA was carried out for Dy4Ge6Rh7 after structural relaxation.

POSCAR file:
```
Dy4Ge6Rh7
1.0
-4.200 4.200 4.200
4.200 -4.200 4.200
4.200 4.200 -4.200
Dy Ge Rh
4 6 7
Direct
0.000 0.000 0.500
0.000 0.500 0.000
0.500 0.000 0.000
0.500 0.500 0.500
0.000 0.321 0.321
0.000 0.679 0.679
0.321 0.000 0.321
0.321 0.321 0.000
0.679 0.000 0.679
0.679 0.679 0.000
0.000 0.000 0.000
0.250 0.500 0.750
0.250 0.750 0.500
0.500 0.250 0.750
0.500 0.750 0.250
0.750 0.250 0.500
0.750 0.500 0.250
```

Calculated values
* final energy: -113.73 eV for the cell shown
* symmetry: No. 229
* DOS(E_F): 9.50 states/eV/cell